Record 1
GGA-PBE Rb2ZrBiBr6, optimized geometry; formation energy without anion corrections = -106.4 kJ per mole of atoms
1.0
-4.001 4.001 6.578
4.001 -4.001 6.578
4.001 4.001 -6.578
Rb Zr Bi Br
2 1 1 6
Direct
0.250 0.750 0.500
0.750 0.250 0.500
0.000 0.000 0.000
0.500 0.500 0.000
0.205 0.205 0.000
0.237 0.237 0.475
0.237 0.763 0.000
0.763 0.237 0.000
0.763 0.763 0.525
0.795 0.795 0.000



Record 2
GGA-PBE ReBi2Br, optimized geometry; formation energy without anion corrections = 72.7 kJ per mole of atoms; polymorph energy (0 for the lowest one) = 0.0 meV per atom
1.0
6.877 0.000 0.000
0.000 6.877 0.000
0.000 0.000 12.617
Re Bi Br
4 8 4
Direct
0.000 0.000 0.000
0.000 0.500 0.250
0.500 0.000 0.750
0.500 0.500 0.500
0.171 0.250 0.125
0.250 0.671 0.375
0.250 0.829 0.875
0.329 0.250 0.625
0.671 0.750 0.625
0.750 0.171 0.875
0.750 0.329 0.375
0.829 0.750 0.125
0.000 0.000 0.500
0.000 0.500 0.750
0.500 0.000 0.250
0.500 0.500 0.000



Record 3
GGA-PBE Re2BiBr, optimized geometry; formation energy without anion corrections = 179.3 kJ per mole of atoms; polymorph energy (0 for the lowest one) = 340.3 meV per atom
1.0
6.053 0.000 0.000
0.000 6.053 0.000
0.000 0.000 10.947
Re Bi Br
8 4 4
Direct
0.206 0.250 0.125
0.250 0.706 0.375
0.250 0.794 0.875
0.294 0.250 0.625
0.706 0.750 0.625
0.750 0.206 0.875
0.750 0.294 0.375
0.794 0.750 0.125
0.000 0.000 0.500
0.000 0.500 0.750
0.500 0.000 0.250
0.500 0.500 0.000
0.000 0.000 0.000
0.000 0.500 0.250
0.500 0.000 0.750
0.500 0.500 0.500



Record 4
GGA-PBE Re2BiBr2, optimized geometry; formation energy without anion corrections = 119.0 kJ per mole of atoms; polymorph energy (0 for the lowest one) = 253.1 meV per atom
1.0
8.347 0.000 0.000
0.000 8.347 0.000
0.000 0.000 3.132
Re Bi Br
4 2 4
Direct
0.099 0.401 0.000
0.401 0.901 0.000
0.599 0.099 0.000
0.901 0.599 0.000
0.000 0.000 0.000
0.500 0.500 0.000
0.223 0.723 0.500
0.277 0.223 0.500
0.723 0.777 0.500
0.777 0.277 0.500



Record 5
GGA-PBE Re3BiBr, optimized geometry; formation energy without anion corrections = 320.9 kJ per mole of atoms; polymorph energy (0 for the lowest one) = 1037.6 meV per atom
1.0
5.207 0.000 0.000
0.000 5.207 0.000
0.000 0.000 5.207
Re Bi Br
3 1 1
Direct
0.000 0.000 0.500
0.000 0.500 0.000
0.500 0.000 0.000
0.000 0.000 0.000
0.500 0.500 0.500



Record 6
GGA-PBE ReBiBr3, optimized geometry; formation energy without anion corrections = 91.9 kJ per mole of atoms
1.0
5.810 0.000 0.000
0.000 5.810 0.000
0.000 0.000 5.810
Re Bi Br
1 1 3
Direct
0.000 0.000 0.000
0.500 0.500 0.500
0.000 0.500 0.500
0.500 0.000 0.500
0.500 0.500 0.000



Record 7
GGA-PBE Re2BiBr, optimized geometry; formation energy without anion corrections = 146.5 kJ per mole of atoms; polymorph energy (0 for the lowest one) = 0.0 meV per atom
1.0
6.639 0.000 0.000
0.000 6.639 0.000
0.000 0.000 6.639
Re Bi Br
8 4 4
Direct
0.250 0.250 0.250
0.250 0.250 0.750
0.250 0.750 0.250
0.250 0.750 0.750
0.750 0.250 0.250
0.750 0.250 0.750
0.750 0.750 0.250
0.750 0.750 0.750
0.000 0.000 0.000
0.000 0.500 0.500
0.500 0.000 0.500
0.500 0.500 0.000
0.000 0.000 0.500
0.000 0.500 0.000
0.500 0.000 0.000
0.500 0.500 0.500



Record 8
GGA-PBE Re3BiBr, optimized geometry; formation energy without anion corrections = 220.8 kJ per mole of atoms; polymorph energy (0 for the lowest one) = 0.0 meV per atom
1.0
4.665 0.000 0.000
0.000 4.665 0.000
0.000 0.000 4.665
Re Bi Br
3 1 1
Direct
0.000 0.000 0.500
0.000 0.500 0.000
0.500 0.000 0.000
0.500 0.500 0.500
0.000 0.000 0.000



Record 9
GGA-PBE Re2BiBr2, optimized geometry; formation energy without anion corrections = 94.6 kJ per mole of atoms; polymorph energy (0 for the lowest one) = 0.0 meV per atom
1.0
4.386 0.000 0.000
0.000 4.386 0.000
0.000 0.000 11.661
Re Bi Br
4 2 4
Direct
0.000 0.000 0.096
0.000 0.000 0.904
0.500 0.500 0.404
0.500 0.500 0.596
0.000 0.000 0.500
0.500 0.500 0.000
0.000 0.500 0.250
0.000 0.500 0.750
0.500 0.000 0.250
0.500 0.000 0.750



Record 10
GGA-PBE ReBi2Br, optimized geometry; formation energy without anion corrections = 91.6 kJ per mole of atoms; polymorph energy (0 for the lowest one) = 195.4 meV per atom
1.0
7.321 0.000 0.000
0.000 7.321 0.000
0.000 0.000 7.321
Re Bi Br
4 8 4
Direct
0.000 0.000 0.000
0.000 0.500 0.500
0.500 0.000 0.500
0.500 0.500 0.000
0.250 0.250 0.250
0.250 0.250 0.750
0.250 0.750 0.250
0.250 0.750 0.750
0.750 0.250 0.250
0.750 0.250 0.750
0.750 0.750 0.250
0.750 0.750 0.750
0.000 0.000 0.500
0.000 0.500 0.000
0.500 0.000 0.000
0.500 0.500 0.500



Record 11
GGA-PBE ReBiSbBr2, optimized geometry; formation energy without anion corrections = 61.3 kJ per mole of atoms
1.0
4.996 0.000 0.000
0.000 4.996 0.000
0.000 0.000 5.534
Re Bi Sb Br
1 1 1 2
Direct
0.000 0.000 0.000
0.500 0.500 0.500
0.000 0.000 0.500
0.000 0.500 0.000
0.500 0.000 0.000



Record 12
GGA-PBE ReBiSe2Br, optimized geometry; formation energy without anion corrections = 42.5 kJ per mole of atoms; polymorph energy (0 for the lowest one) = 0.0 meV per atom
1.0
4.867 0.000 0.000
0.000 4.867 0.000
0.000 0.000 5.243
Re Bi Se Br
1 1 2 1
Direct
0.000 0.000 0.000
0.500 0.500 0.500
0.000 0.500 0.000
0.500 0.000 0.000
0.000 0.000 0.500



Record 13
GGA-PBE Re2TcBiBr, optimized geometry; formation energy without anion corrections = 172.2 kJ per mole of atoms
1.0
4.795 0.000 0.000
0.000 4.795 0.000
0.000 0.000 5.463
Re Tc Bi Br
2 1 1 1
Direct
0.000 0.500 0.000
0.500 0.000 0.000
0.000 0.000 0.000
0.000 0.000 0.500
0.500 0.500 0.500